A geometry-optimized KYSbTe2 structure, computed with GGA-PBEsol.

Results
* crystal system: tetragonal
* energy relative to the elements, uncorrected: 545 meV per atom
* total moment: 0.0 Bohr magnetons per cell
* mass density: 4.77 g/cm3
* DOS(E_F): 0.6944 states/eV/atom
* raw total energy: -0.2475 Ry per atom

Unit cell a=5.708 b=5.708 c=5.400 alpha=90.00 beta=90.00 gamma=90.00
Space group P4/mmm (No. 123)
Inequivalent atoms, fractional coordinates:
K (0.000, 0.000, 0.000) (multiplicity 1)
Y (0.500, 0.500, 0.500) (multiplicity 1)
Sb (0.000, 0.000, 0.500) (multiplicity 1)
Te (0.000, 0.500, 0.000) (multiplicity 2)



A geometry-optimized K2TlSb structure, computed with GGA-PBEsol.

Results
* crystal system: orthorhombic
* energy relative to the elements, uncorrected: -143 meV per atom
* total moment: 0.0 Bohr magnetons per cell
* mass density: 5.18 g/cm3
* DOS(E_F): 0.6549 states/eV/atom
* raw total energy: -0.1843 Ry per atom

Unit cell a=7.115 b=10.542 c=3.455 alpha=90.00 beta=90.00 gamma=90.00
Space group Cmmm (No. 65)
Inequivalent atoms, fractional coordinates:
K (0.250, 0.250, 0.000) (multiplicity 4)
Tl (0.000, 0.000, 0.500) (multiplicity 2)
Sb (0.000, 0.500, 0.500) (multiplicity 2)



A geometry-optimized K2TlSb structure, computed with GGA-PBEsol.

Results
* crystal system: orthorhombic
* energy relative to the elements, uncorrected: -297 meV per atom
* total moment: 0.0 Bohr magnetons per cell
* mass density: 4.75 g/cm3
* DOS(E_F): 0.2842 states/eV/atom
* raw total energy: -0.1956 Ry per atom

Unit cell a=4.553 b=5.698 c=10.897 alpha=90.00 beta=90.00 gamma=90.00
Space group Imm2 (No. 44)
Inequivalent atoms, fractional coordinates:
K (0.000, 0.000, 0.000) (multiplicity 2)
K (0.000, 0.500, 0.199) (multiplicity 2)
Tl (0.000, 0.000, 0.435) (multiplicity 2)
Sb (0.000, 0.500, 0.759) (multiplicity 2)



A geometry-optimized K2TlSb2 structure, computed with GGA-PBEsol.

Results
* crystal system: tetragonal
* energy relative to the elements, uncorrected: -282 meV per atom
* total moment: 0.0 Bohr magnetons per cell
* mass density: 4.96 g/cm3
* DOS(E_F): 0.3920 states/eV/atom
* raw total energy: -0.2267 Ry per atom

Unit cell a=8.008 b=8.008 c=5.498 alpha=90.00 beta=90.00 gamma=90.00
Space group P4/mbm (No. 127)
Inequivalent atoms, fractional coordinates:
K (0.171, 0.329, 0.000) (multiplicity 4)
Tl (0.000, 0.000, 0.500) (multiplicity 2)
Sb (0.126, 0.626, 0.500) (multiplicity 4)



A geometry-optimized K6Tl2Sb3 structure, computed with GGA-PBEsol.

Results
* crystal system: monoclinic
* energy relative to the elements, uncorrected: -389 meV per atom
* total moment: 0.0 Bohr magnetons per cell
* mass density: 4.22 g/cm3
* DOS(E_F): 0.0499 states/eV/atom
* raw total energy: -0.2006 Ry per atom

Unit cell a=9.864 b=16.945 c=19.574 alpha=90.00 beta=104.09 gamma=90.00
Space group C2/c (No. 15)
Inequivalent atoms, fractional coordinates:
K (0.000, 0.025, 0.250) (multiplicity 4)
K (0.000, 0.201, 0.750) (multiplicity 4)
K (0.032, 0.094, 0.446) (multiplicity 8)
K (0.056, 0.273, 0.947) (multiplicity 8)
K (0.089, 0.426, 0.446) (multiplicity 8)
K (0.168, 0.244, 0.322) (multiplicity 8)
K (0.171, 0.415, 0.823) (multiplicity 8)
Tl (0.146, 0.415, 0.228) (multiplicity 8)
Tl (0.209, 0.085, 0.930) (multiplicity 8)
Sb (0.121, 0.089, 0.631) (multiplicity 8)
Sb (0.158, 0.271, 0.135) (multiplicity 8)
Sb (0.167, 0.439, 0.638) (multiplicity 8)



A geometry-optimized K2TlSb structure, computed with GGA-PBEsol.

Results
* crystal system: tetragonal
* energy relative to the elements, uncorrected: -228 meV per atom
* total moment: 0.0 Bohr magnetons per cell
* mass density: 5.01 g/cm3
* raw total energy: -0.1905 Ry per atom

Unit cell a=5.723 b=5.723 c=8.179 alpha=90.00 beta=90.00 gamma=90.00
Space group I4/mmm (No. 139)
Inequivalent atoms, fractional coordinates:
K (0.000, 0.500, 0.250) (multiplicity 4)
Tl (0.000, 0.000, 0.000) (multiplicity 2)
Sb (0.000, 0.000, 0.500) (multiplicity 2)



A geometry-optimized K2TlSb structure, computed with GGA-PBEsol.

Results
* crystal system: tetragonal
* energy relative to the elements, uncorrected: -259 meV per atom
* total moment: 0.0 Bohr magnetons per cell
* mass density: 5.04 g/cm3
* DOS(E_F): 0.1749 states/eV/atom
* raw total energy: -0.1928 Ry per atom

Unit cell a=5.539 b=5.539 c=8.679 alpha=90.00 beta=90.00 gamma=90.00
Space group I-4m2 (No. 119)
Inequivalent atoms, fractional coordinates:
K (0.000, 0.000, 0.000) (multiplicity 2)
K (0.000, 0.500, 0.250) (multiplicity 2)
Tl (0.000, 0.500, 0.750) (multiplicity 2)
Sb (0.000, 0.000, 0.500) (multiplicity 2)



A geometry-optimized K2TlSb structure, computed with GGA-PBEsol.

Results
* crystal system: monoclinic
* energy relative to the elements, uncorrected: -294 meV per atom
* total moment: 0.0 Bohr magnetons per cell
* mass density: 4.30 g/cm3
* DOS(E_F): 0.2533 states/eV/atom
* raw total energy: -0.1953 Ry per atom

Unit cell a=5.288 b=4.602 c=6.933 alpha=90.00 beta=112.35 gamma=90.00
Space group Pm (No. 6)
Inequivalent atoms, fractional coordinates:
K (0.000, 0.000, 0.000) (multiplicity 1)
K (0.289, 0.500, 0.580) (multiplicity 1)
Tl (0.714, 0.000, 0.430) (multiplicity 1)
Sb (0.572, 0.500, 0.144) (multiplicity 1)



Question: Look up the total moment of the seventh one.
Answer: 0.0 Bohr magnetons per cell



Question: energy relative to the elements, uncorrected of number 2 (K2TlSb)?
Answer: -143 meV per atom



Question: Which value of energy relative to the elements, uncorrected does entry 4 give?
Answer: -282 meV per atom



Question: The highest raw total energy belongs to which entry?
Answer: number 2